Entry 1:
ThMnTe3: optimized geometry, PBE.

Cell and atoms, written as extended XYZ:
```
10
Lattice="4.512 0.000 0.000 0.000 7.257 -1.000 0.000 0.572 12.128" Properties=species:S:1:pos:R:3 pbc="T T T"
Th 3.384 0.232 2.073
Th 1.128 7.597 9.056
Mn 3.384 4.611 8.311
Mn 1.128 3.217 2.818
Te 3.384 6.011 10.709
Te 1.128 1.818 0.420
Te 3.384 2.482 4.147
Te 1.128 5.347 6.981
Te 3.384 1.936 8.663
Te 1.128 5.893 2.466
```

## Properties
- SG = P2_1/m
- ρ (g cm⁻³) = 5.56
- formation energy without anion corrections (eV per atom) = -0.6882
- ΔE to the lowest computed polymorph (kcal/mol of atoms) = 0.00
- size of the total moment (μB/cell) = 10.000

---

Entry 2:
CaBeFe2: optimized geometry, PBE.

Cell and atoms, written as extended XYZ:
```
4
Lattice="3.017 0.000 0.000 0.000 3.008 0.000 0.000 0.000 6.477" Properties=species:S:1:pos:R:3 pbc="T T T"
Be 1.508 1.504 1.619
Ca 1.508 1.504 4.858
Fe 0.000 0.000 0.537
Fe 0.000 0.000 2.702
```

## Properties
- SG = P4/mmm
- ρ (g cm⁻³) = 4.54
- E_form (kJ/mol of formula units) = 140
- size of the total moment (μB/cell) = 3.958

---

Entry 3:
LiCu2: optimized geometry, PBE.

Cell and atoms, written as extended XYZ:
```
6
Lattice="1.074 -1.434 -4.256 1.759 -1.828 3.858 -4.485 -1.049 0.328" Properties=species:S:1:pos:R:3 pbc="T T T"
Li 0.708 -0.816 -0.099
Li 2.125 -2.447 -0.298
Cu -1.605 -1.300 -0.768
Cu -0.048 -3.012 0.698
Cu -2.268 -2.229 2.131
Cu 0.615 -2.083 -2.201
```

## Properties
- SG = I4/mcm
- ρ (g cm⁻³) = 6.17
- E_form (kJ/mol of formula units) = 48
- size of the total moment (μB/cell) = 0.000

---

Entry 4:
Ba2SnS4: optimized geometry, PBE.

Cell and atoms, written as extended XYZ:
```
7
Lattice="5.076 0.000 0.000 0.000 5.076 0.000 2.538 2.538 7.806" Properties=species:S:1:pos:R:3 pbc="T T T"
S 2.538 2.538 5.269
S 5.076 5.076 2.537
S 0.000 2.538 0.000
S 2.538 0.000 0.000
Ba 2.538 2.538 2.161
Ba 5.076 5.076 5.645
Sn 0.000 0.000 0.000
```

## Properties
- SG = I4/mmm
- ρ (g cm⁻³) = 4.31
- formation energy without anion corrections (eV per atom) = -1.3162
- size of the total moment (μB/cell) = 0.000

---

Entry 5:
CaGdErIn: optimized geometry, PBE.

Cell and atoms, written as extended XYZ:
```
4
Lattice="5.495 0.000 0.000 2.747 4.759 0.000 2.747 1.586 4.487" Properties=species:S:1:pos:R:3 pbc="T T T"
Ca 8.242 4.759 3.365
Gd 5.495 3.172 2.243
In 2.747 1.586 1.122
Er 0.000 0.000 0.000
```

## Properties
- SG = F-43m
- ρ (g cm⁻³) = 6.79
- E_form (kJ/mol of formula units) = -52
- size of the total moment (μB/cell) = 7.479

---

Entry 6:
Na2CaBr2: optimized geometry, PBE.

Cell and atoms, written as extended XYZ:
```
10
Lattice="7.881 0.000 0.000 0.000 7.881 0.000 0.000 0.000 5.803" Properties=species:S:1:pos:R:3 pbc="T T T"
Na 1.927 5.867 2.901
Na 5.867 5.954 2.901
Na 5.954 2.014 2.901
Na 2.014 1.927 2.901
Ca 0.000 0.000 0.000
Ca 3.941 3.941 0.000
Br 2.553 6.493 0.000
Br 6.493 5.328 0.000
Br 5.328 1.388 0.000
Br 1.388 2.553 0.000
```

## Properties
- SG = P4/mbm
- ρ (g cm⁻³) = 2.27
- formation energy without anion corrections (eV per atom) = -1.0465
- size of the total moment (μB/cell) = 0.000

---

Entry 7:
NpGa2Se6: optimized geometry, PBE.

Cell and atoms, written as extended XYZ:
```
18
Lattice="6.907 -0.481 -0.465 1.400 8.483 0.156 1.400 0.431 8.473" Properties=species:S:1:pos:R:3 pbc="T T T"
Np 3.126 1.121 7.520
Np 6.580 7.312 0.644
Ga 2.863 5.438 6.375
Ga 3.390 2.126 3.168
Ga 6.843 2.995 1.789
Ga 6.317 6.307 4.996
Se 3.973 6.199 4.368
Se 2.279 4.107 2.342
Se 5.733 2.234 3.796
Se 7.427 4.326 5.822
Se 7.581 7.270 3.132
Se 5.579 4.826 0.767
Se 2.126 1.163 5.032
Se 4.127 3.606 7.397
Se 3.236 7.184 8.163
Se 3.017 0.281 1.481
Se 6.470 1.249 0.001
Se 6.690 8.152 6.683
```

## Properties
- SG = C2/c
- ρ (g cm⁻³) = 5.57
- formation energy without anion corrections (eV per atom) = -0.5052
- size of the total moment (μB/cell) = 4.348

---

Entry 8:
LaPrNd: optimized geometry, PBE.

Cell and atoms, written as extended XYZ:
```
6
Lattice="-4.351 2.382 3.134 -5.896 1.015 -3.466 -2.708 -4.110 4.856" Properties=species:S:1:pos:R:3 pbc="T T T"
La -9.721 2.552 1.040
La -3.233 -3.265 3.484
Pr -7.000 0.483 0.899
Pr -5.955 -1.196 3.625
Nd -9.706 -0.522 3.397
Nd -3.248 -0.191 1.127
```

## Properties
- SG = Immm
- ρ (g cm⁻³) = 6.53
- ΔE to the lowest computed polymorph (kcal/mol of atoms) = 0.87
- E_form (kJ/mol of formula units) = 14
- size of the total moment (μB/cell) = 0.000

---

Entry 9:
Sr2SbS2: optimized geometry, PBE.

Cell and atoms, written as extended XYZ:
```
5
Lattice="-2.659 3.005 -0.709 -2.712 -1.826 2.432 0.419 4.919 7.573" Properties=species:S:1:pos:R:3 pbc="T T T"
Sb 0.000 0.000 0.000
S -2.463 4.257 3.863
S -2.489 1.841 5.434
Sr -1.922 1.654 2.512
Sr -3.030 4.444 6.786
```

## Properties
- SG = I4/mmm
- ρ (g cm⁻³) = 4.21
- formation energy without anion corrections (eV per atom) = -0.9694
- ΔE to the lowest computed polymorph (kcal/mol of atoms) = 1.71
- size of the total moment (μB/cell) = 0.000

---

Entry 10:
KLa2Cd: optimized geometry, PBE.

Cell and atoms, written as extended XYZ:
```
8
Lattice="-5.103 -1.275 -7.754 5.088 -7.583 -2.101 -2.208 -6.397 -3.156" Properties=species:S:1:pos:R:3 pbc="T T T"
K -0.007 -4.429 -4.928
K 1.436 -9.204 -5.092
Cd 0.000 0.000 0.000
Cd -3.659 -6.050 -7.919
La -3.264 -3.384 -6.139
La 2.148 -6.458 -2.830
La -1.820 -7.884 -5.997
La -1.511 -12.784 -11.055
```

## Properties
- SG = I-42d
- ρ (g cm⁻³) = 4.72
- E_form (kJ/mol of formula units) = 120
- size of the total moment (μB/cell) = 0.000

---

Entry 11:
Ac2Zn4CdAg3: optimized geometry, PBE.

Cell and atoms, written as extended XYZ:
```
10
Lattice="4.392 0.000 0.000 0.000 4.392 0.000 0.000 0.000 11.890" Properties=species:S:1:pos:R:3 pbc="T T T"
Ac 2.196 0.000 2.890
Ac 0.000 2.196 9.001
Zn 2.196 2.196 0.000
Zn 0.000 0.000 0.000
Zn 2.196 0.000 7.630
Zn 0.000 2.196 4.260
Cd 2.196 2.196 5.945
Ag 0.000 0.000 5.945
Ag 2.196 0.000 10.303
Ag 0.000 2.196 1.587
```

## Properties
- SG = P-4m2
- ρ (g cm⁻³) = 8.34
- E_form (kJ/mol of formula units) = -247
- size of the total moment (μB/cell) = 0.000

---

Entry 12:
La2PmNd3P6: optimized geometry, PBE.

Cell and atoms, written as extended XYZ:
```
12
Lattice="-5.913 -4.225 -0.229 4.305 -0.088 5.859 -3.174 6.477 0.927" Properties=species:S:1:pos:R:3 pbc="T T T"
La 0.897 -1.467 3.828
La -2.505 -2.845 1.801
Pm 0.000 0.000 0.000
Nd 1.012 2.460 5.305
Nd -5.794 -0.295 1.251
Nd -2.391 1.082 3.278
P -5.268 0.924 3.917
P -2.014 -1.618 4.480
P 0.486 1.241 2.639
P -1.897 2.288 5.926
P -2.768 3.783 2.076
P -2.886 -0.124 0.631
```

## Properties
- SG = C2/m
- ρ (g cm⁻³) = 5.51
- E_form (kJ/mol of formula units) = -1797
- size of the total moment (μB/cell) = 0.000